# 1
Here is crystalline HfNiHg2Sb at its relaxed geometry from Alexandria via LeMat-Bulk. Energies are from PBE.

```
HfNiHg2Sb
1.0
5.373 0.000 0.000
0.000 5.447 0.000
0.000 0.000 5.373
Sb Hf Hg Ni
1 1 2 1
direct
0.000 0.000 0.000
0.000 0.500 0.000
0.000 0.000 0.500
0.500 0.000 0.000
0.500 0.500 0.500
```

The total magnetization is 0.8 μB per formula unit. The calculation puts the calculated volume at 31.46 A^3/atom. For the total energy, the calculation gives -14.17 eV per cell.


# 2
Here is crystalline GdGa2Sn at its relaxed geometry from Alexandria via LeMat-Bulk. Energies are from PBE.

```
GdGa2Sn
1.0
4.352 0.000 0.000
0.000 4.492 0.000
0.000 0.000 4.492
Gd Sn Ga
1 1 2
direct
0.500 0.500 0.500
0.500 0.000 0.000
0.000 0.000 0.500
0.000 0.500 0.000
```

The total magnetization is 6.8 μB per formula unit. The energy of formation from the pure elements is -0.507 eV/atom. The calculation puts the calculated volume at 21.96 A^3/atom. For the total energy, the calculation gives -26.16 eV per cell.